Entry from Alexandria via LeMat-Bulk: TmMn2F8 after structural relaxation (PBE with a Hubbard U).

Properties
- Total DFT energy (no corrections): -6.18 eV per atom
- Total moment: 9.000 μB/f.u.

The structure in extended XYZ format:
```
11
Lattice="0.400 -4.180 -3.198 0.612 -2.424 4.910 -5.182 -0.583 1.780" Properties=species:S:1:pos:R:3 pbc="T T T"
Mn -1.243 -3.240 0.395
F -4.619 -2.600 2.379
F 0.449 -4.587 1.114
F -3.152 -3.443 -0.832
Mn -2.927 -3.947 3.097
F -1.018 -3.744 4.325
F -3.651 -3.312 4.810
F -2.265 -4.736 1.408
F -0.520 -3.875 -1.317
F -1.905 -2.451 2.084
Tm 0.000 0.000 0.000
```